Here is a relaxed EuYMg2 crystal from Alexandria. Energies are from PBE.

Values from the calculation:
The space group is P4/mmm, No. 123. The formation energy comes out at -0.084 eV/atom.

Unit cell a=3.887 b=3.887 c=7.879 alpha=90.00 beta=90.00 gamma=90.00
Element x y z (fractional)
Eu 0.000 0.000 0.000
Y 0.000 0.000 0.500
Mg 0.500 0.500 0.271
Mg 0.500 0.500 0.729